MnTc2Ru: optimized geometry, PBE.

For the formation energy, the calculation gives 0.12 eV per atom. For the energy above the most stable polymorph in this dataset, the calculation gives 62.8 meV/atom. The uncorrected energy comes out at -38.70 eV per formula unit. As for the density of states at the Fermi level: 11.827 states/eV per cell.

CIF file:
```
data_MnTc2Ru
_symmetry_space_group_name_H-M 'R -3 m'
_symmetry_Int_Tables_number 166
_symmetry_space_group_name_Hall '-R 3 2"'
_cell_length_a 2.6823
_cell_length_b 2.6823
_cell_length_c 26.1836
_cell_angle_alpha 90.00
_cell_angle_beta 90.00
_cell_angle_gamma 120.00
loop_
_atom_site_label
_atom_site_type_symbol
_atom_site_fract_x
_atom_site_fract_y
_atom_site_fract_z
Mn1 Mn 0.0000 0.0000 0.0000
Tc1 Tc 0.0000 0.0000 0.2535
Ru1 Ru 0.0000 0.0000 0.5000
```